Entry 1:
Here is Ta2AuC after structural relaxation from Alexandria. Energies are from PBE-GGA.

a b c (Å): 3.1524 3.1524 20.9809
angles (deg): 90.00 90.00 120.00
Space group R-3m (No. 166, hexagonal axes)
Asymmetric unit:
Ta (0.0000, 0.0000, 0.2238) [6 per cell]
Au (0.0000, 0.0000, 0.0000) [3 per cell]
C (0.0000, 0.0000, 0.5000) [3 per cell]

Calculated values
As for the formation energy: -0.43 eV per atom.

---

Entry 2:
Here is TaAu2C2 after structural relaxation from Alexandria. Energies are from PBE-GGA.

a b c (Å): 2.7330 2.7330 17.8902
angles (deg): 90.00 90.00 90.00
Space group I4/mmm (No. 139)
Asymmetric unit:
Ta (0.0000, 0.0000, 0.0000) [2 per cell]
Au (0.0000, 0.0000, 0.3773) [4 per cell]
C (0.0000, 0.5000, 0.2500) [4 per cell]

Calculated values
As for the formation energy: 1.46 eV per atom.

---

Entry 3:
Here is Ta2AuC after structural relaxation from Alexandria. Energies are from PBE-GGA.

a b c (Å): 5.4637 5.4637 10.1470
angles (deg): 90.00 90.00 90.00
Space group I-42d (No. 122)
Asymmetric unit:
Ta (0.1579, 0.2500, 0.1250) [8 per cell]
Au (0.0000, 0.0000, 0.5000) [4 per cell]
C (0.0000, 0.0000, 0.0000) [4 per cell]

Calculated values
As for the formation energy: 0.46 eV per atom.

---

Entry 4:
Here is Ta2Au2C after structural relaxation from Alexandria. Energies are from PBE-GGA.

a b c (Å): 3.5123 3.5123 14.3715
angles (deg): 90.00 90.00 90.00
Space group I4/mmm (No. 139)
Asymmetric unit:
Ta (0.0000, 0.0000, 0.0884) [4 per cell]
Au (0.0000, 0.5000, 0.2500) [4 per cell]
C (0.0000, 0.0000, 0.5000) [2 per cell]

Calculated values
As for the formation energy: 1.28 eV per atom.

---

Entry 5:
Here is Ta2AuC2 after structural relaxation from Alexandria. Energies are from PBE-GGA.

a b c (Å): 6.4718 6.4718 2.9530
angles (deg): 90.00 90.00 90.00
Space group P4/mbm (No. 127)
Asymmetric unit:
Ta (0.1488, 0.3512, 0.0000) [4 per cell]
Au (0.0000, 0.0000, 0.5000) [2 per cell]
C (0.1406, 0.6406, 0.5000) [4 per cell]

Calculated values
As for the formation energy: 0.39 eV per atom.

---

Entry 6:
Here is TaAu2C2 after structural relaxation from Alexandria. Energies are from PBE-GGA.

a b c (Å): 5.2651 5.2651 3.9442
angles (deg): 90.00 90.00 90.00
Space group P4/mmm (No. 123)
Asymmetric unit:
Ta (0.0000, 0.0000, 0.0000) [1 per cell]
Au (0.0000, 0.5000, 0.0000) [2 per cell]
C (0.0000, 0.0000, 0.5000) [1 per cell]
C (0.5000, 0.5000, 0.5000) [1 per cell]

Calculated values
As for the formation energy: 2.55 eV per atom.

---

Entry 7:
Here is TaAuC2 after structural relaxation from Alexandria. Energies are from PBE-GGA.

a b c (Å): 4.9162 4.9162 9.7276
angles (deg): 90.00 90.00 90.00
Space group I-42d (No. 122)
Asymmetric unit:
Ta (0.0000, 0.0000, 0.0000) [4 per cell]
Au (0.0000, 0.0000, 0.5000) [4 per cell]
C (0.2289, 0.2500, 0.1250) [8 per cell]

Calculated values
As for the formation energy: 0.87 eV per atom.

---

Entry 8:
Here is Ta2Au2C after structural relaxation from Alexandria. Energies are from PBE-GGA.

a b c (Å): 5.8156 5.8156 4.8882
angles (deg): 90.00 90.00 90.00
Space group P4/mbm (No. 127)
Asymmetric unit:
Ta (0.1699, 0.3301, 0.0000) [4 per cell]
Au (0.1625, 0.6625, 0.5000) [4 per cell]
C (0.0000, 0.0000, 0.0000) [2 per cell]

Calculated values
As for the formation energy: 0.07 eV per atom.